# Sr2NiAgP2 PBE relaxed
data_Sr2NiAgP2
_chemical_formula_sum 'Sr2 Ni1 Ag1 P2'
_space_group_name_H-M_alt 'P 1'
_space_group_IT_number 1
_cell_length_a 4.168
_cell_length_b 4.168
_cell_length_c 8.780
_cell_angle_alpha 90.00
_cell_angle_beta 90.00
_cell_angle_gamma 120.00
loop_
_space_group_symop_operation_xyz
'x,y,z'
loop_
_atom_site_label
_atom_site_type_symbol
_atom_site_fract_x
_atom_site_fract_y
_atom_site_fract_z
_atom_site_occupancy
Sr1 Sr 0.000 0.000 0.237 1
Sr2 Sr 0.000 0.000 0.763 1
Ni1 Ni 0.333 0.667 0.000 1
Ag1 Ag 0.667 0.333 0.500 1
P1 P 0.333 0.667 0.500 1
P2 P 0.667 0.333 0.000 1
# SG = P-6m2 (187)
# Calculated total energy = -27.1 eV per formula unit
# Magnetization = 0.00 μB per formula unit

=====

# BaPa2S5 PBE relaxed
data_BaPa2S5
_chemical_formula_sum 'Ba2 Pa4 S10'
_space_group_name_H-M_alt 'P 1'
_space_group_IT_number 1
_cell_length_a 8.711
_cell_length_b 8.711
_cell_length_c 8.711
_cell_angle_alpha 128.73
_cell_angle_beta 128.73
_cell_angle_gamma 75.44
loop_
_space_group_symop_operation_xyz
'x,y,z'
loop_
_atom_site_label
_atom_site_type_symbol
_atom_site_fract_x
_atom_site_fract_y
_atom_site_fract_z
_atom_site_occupancy
Ba1 Ba 0.250 0.250 0.000 1
Ba2 Ba 0.750 0.750 0.000 1
Pa1 Pa 0.159 0.659 0.817 1
Pa2 Pa 0.341 0.159 0.500 1
Pa3 Pa 0.659 0.841 0.500 1
Pa4 Pa 0.841 0.341 0.183 1
S1 S 0.000 0.000 0.000 1
S2 S 0.021 0.227 0.500 1
S3 S 0.227 0.727 0.206 1
S4 S 0.273 0.479 0.500 1
S5 S 0.479 0.979 0.206 1
S6 S 0.500 0.500 0.000 1
S7 S 0.521 0.021 0.794 1
S8 S 0.727 0.521 0.500 1
S9 S 0.773 0.273 0.794 1
S10 S 0.979 0.773 0.500 1
# SG = I4/mcm (140)
# Calculated total energy = -56.0 eV per formula unit
# Magnetization = 1.97 μB per formula unit

=====

# CdFePbW PBE relaxed
data_CdFePbW
_chemical_formula_sum 'Cd1 Fe1 Pb1 W1'
_space_group_name_H-M_alt 'P 1'
_space_group_IT_number 1
_cell_length_a 4.672
_cell_length_b 4.672
_cell_length_c 4.672
_cell_angle_alpha 60.00
_cell_angle_beta 60.00
_cell_angle_gamma 60.00
loop_
_space_group_symop_operation_xyz
'x,y,z'
loop_
_atom_site_label
_atom_site_type_symbol
_atom_site_fract_x
_atom_site_fract_y
_atom_site_fract_z
_atom_site_occupancy
Cd1 Cd 0.000 0.000 0.000 1
Fe1 Fe 0.750 0.750 0.750 1
Pb1 Pb 0.500 0.500 0.500 1
W1 W 0.250 0.250 0.250 1
# SG = F-43m (216)
# Calculated total energy = -21.8 eV per formula unit
# Magnetization = 2.75 μB per formula unit

=====

# HoNbN2O PBE relaxed
data_HoNbN2O
_chemical_formula_sum 'Ho6 Nb6 N12 O6'
_space_group_name_H-M_alt 'P 1'
_space_group_IT_number 1
_cell_length_a 6.214
_cell_length_b 6.214
_cell_length_c 12.205
_cell_angle_alpha 90.00
_cell_angle_beta 90.00
_cell_angle_gamma 120.00
loop_
_space_group_symop_operation_xyz
'x,y,z'
loop_
_atom_site_label
_atom_site_type_symbol
_atom_site_fract_x
_atom_site_fract_y
_atom_site_fract_z
_atom_site_occupancy
Ho1 Ho 0.000 0.000 0.000 1
Ho2 Ho 0.000 0.000 0.500 1
Ho3 Ho 0.333 0.667 0.461 1
Ho4 Ho 0.333 0.667 0.961 1
Ho5 Ho 0.667 0.333 0.461 1
Ho6 Ho 0.667 0.333 0.961 1
Nb1 Nb 0.000 0.333 0.227 1
Nb2 Nb 0.000 0.667 0.727 1
Nb3 Nb 0.333 0.000 0.227 1
Nb4 Nb 0.333 0.333 0.727 1
Nb5 Nb 0.667 0.000 0.727 1
Nb6 Nb 0.667 0.667 0.227 1
N1 N 0.000 0.306 0.388 1
N2 N 0.000 0.362 0.069 1
N3 N 0.000 0.638 0.569 1
N4 N 0.000 0.694 0.888 1
N5 N 0.306 0.000 0.388 1
N6 N 0.306 0.306 0.888 1
N7 N 0.362 0.000 0.069 1
N8 N 0.362 0.362 0.569 1
N9 N 0.638 0.000 0.569 1
N10 N 0.638 0.638 0.069 1
N11 N 0.694 0.000 0.888 1
N12 N 0.694 0.694 0.388 1
O1 O 0.000 0.000 0.204 1
O2 O 0.000 0.000 0.704 1
O3 O 0.333 0.667 0.245 1
O4 O 0.333 0.667 0.745 1
O5 O 0.667 0.333 0.245 1
O6 O 0.667 0.333 0.745 1
# SG = P6_3cm (185)
# Calculated total energy = -43.2 eV per formula unit
# Magnetization = 0.02 μB per formula unit

=====

# CuReBiAs PBE relaxed
data_CuReBiAs
_chemical_formula_sum 'Cu1 Re1 Bi1 As1'
_space_group_name_H-M_alt 'P 1'
_space_group_IT_number 1
_cell_length_a 4.673
_cell_length_b 4.673
_cell_length_c 4.673
_cell_angle_alpha 60.00
_cell_angle_beta 60.00
_cell_angle_gamma 60.00
loop_
_space_group_symop_operation_xyz
'x,y,z'
loop_
_atom_site_label
_atom_site_type_symbol
_atom_site_fract_x
_atom_site_fract_y
_atom_site_fract_z
_atom_site_occupancy
Cu1 Cu 0.000 0.000 0.000 1
Re1 Re 0.250 0.250 0.250 1
Bi1 Bi 0.750 0.750 0.750 1
As1 As 0.500 0.500 0.500 1
# SG = F-43m (216)
# Calculated total energy = -21.0 eV per formula unit
# Magnetization = 0.09 μB per formula unit

=====

# Ta2Al2NiPt PBE relaxed
data_Ta2Al2NiPt
_chemical_formula_sum 'Ta8 Al8 Ni4 Pt4'
_space_group_name_H-M_alt 'P 1'
_space_group_IT_number 1
_cell_length_a 7.262
_cell_length_b 4.183
_cell_length_c 13.874
_cell_angle_alpha 90.00
_cell_angle_beta 99.84
_cell_angle_gamma 90.00
loop_
_space_group_symop_operation_xyz
'x,y,z'
loop_
_atom_site_label
_atom_site_type_symbol
_atom_site_fract_x
_atom_site_fract_y
_atom_site_fract_z
_atom_site_occupancy
Ta1 Ta 0.000 0.000 0.000 1
Ta2 Ta 0.009 0.500 0.493 1
Ta3 Ta 0.235 0.000 0.737 1
Ta4 Ta 0.247 0.500 0.242 1
Ta5 Ta 0.483 0.000 0.484 1
Ta6 Ta 0.500 0.500 0.000 1
Ta7 Ta 0.744 0.000 0.236 1
Ta8 Ta 0.758 0.500 0.740 1
Al1 Al 0.123 0.500 0.863 1
Al2 Al 0.124 0.000 0.362 1
Al3 Al 0.367 0.500 0.613 1
Al4 Al 0.372 0.000 0.124 1
Al5 Al 0.615 0.500 0.362 1
Al6 Al 0.620 0.000 0.865 1
Al7 Al 0.876 0.000 0.615 1
Al8 Al 0.876 0.500 0.124 1
Ni1 Ni 0.060 0.500 0.677 1
Ni2 Ni 0.061 0.000 0.182 1
Ni3 Ni 0.307 0.500 0.426 1
Ni4 Ni 0.559 0.500 0.181 1
Pt1 Pt 0.309 0.000 0.931 1
Pt2 Pt 0.558 0.000 0.676 1
Pt3 Pt 0.809 0.000 0.427 1
Pt4 Pt 0.812 0.500 0.932 1
# SG = Pm (6)
# Calculated total energy = -45.8 eV per formula unit
# Magnetization = 0.00 μB per formula unit

=====

# Cs2Rb2HgSb2 PBE relaxed
data_Cs2Rb2HgSb2
_chemical_formula_sum 'Cs2 Rb2 Hg1 Sb2'
_space_group_name_H-M_alt 'P 1'
_space_group_IT_number 1
_cell_length_a 11.197
_cell_length_b 11.197
_cell_length_c 11.197
_cell_angle_alpha 33.27
_cell_angle_beta 33.27
_cell_angle_gamma 33.27
loop_
_space_group_symop_operation_xyz
'x,y,z'
loop_
_atom_site_label
_atom_site_type_symbol
_atom_site_fract_x
_atom_site_fract_y
_atom_site_fract_z
_atom_site_occupancy
Cs1 Cs 0.207 0.207 0.207 1
Cs2 Cs 0.793 0.793 0.793 1
Rb1 Rb 0.381 0.381 0.381 1
Rb2 Rb 0.619 0.619 0.619 1
Hg1 Hg 0.000 0.000 0.000 1
Sb1 Sb 0.085 0.085 0.085 1
Sb2 Sb 0.915 0.915 0.915 1
# SG = R-3m (166)
# Calculated total energy = -15.4 eV per formula unit

=====

# Cu17Ge PBE relaxed
data_Cu17Ge
_chemical_formula_sum 'Cu34 Ge2'
_space_group_name_H-M_alt 'P 1'
_space_group_IT_number 1
_cell_length_a 4.403
_cell_length_b 5.112
_cell_length_c 31.901
_cell_angle_alpha 90.00
_cell_angle_beta 90.06
_cell_angle_gamma 90.00
loop_
_space_group_symop_operation_xyz
'x,y,z'
loop_
_atom_site_label
_atom_site_type_symbol
_atom_site_fract_x
_atom_site_fract_y
_atom_site_fract_z
_atom_site_occupancy
Cu1 Cu 0.000 0.000 0.000 1
Cu2 Cu 0.000 0.001 0.197 1
Cu3 Cu 0.000 0.499 0.197 1
Cu4 Cu 0.000 0.500 0.000 1
Cu5 Cu 0.000 0.501 0.803 1
Cu6 Cu 0.000 0.999 0.803 1
Cu7 Cu 0.166 0.750 0.066 1
Cu8 Cu 0.167 0.250 0.066 1
Cu9 Cu 0.167 0.250 0.868 1
Cu10 Cu 0.167 0.750 0.264 1
Cu11 Cu 0.167 0.750 0.869 1
Cu12 Cu 0.333 0.000 0.736 1
Cu13 Cu 0.333 0.001 0.934 1
Cu14 Cu 0.333 0.499 0.934 1
Cu15 Cu 0.333 0.500 0.736 1
Cu16 Cu 0.333 0.501 0.131 1
Cu17 Cu 0.333 0.999 0.131 1
Cu18 Cu 0.498 0.250 0.196 1
Cu19 Cu 0.498 0.250 0.803 1
Cu20 Cu 0.499 0.750 0.000 1
Cu21 Cu 0.501 0.250 0.000 1
Cu22 Cu 0.502 0.750 0.197 1
Cu23 Cu 0.502 0.750 0.804 1
Cu24 Cu 0.667 0.000 0.264 1
Cu25 Cu 0.667 0.001 0.869 1
Cu26 Cu 0.667 0.499 0.869 1
Cu27 Cu 0.667 0.500 0.264 1
Cu28 Cu 0.667 0.501 0.066 1
Cu29 Cu 0.667 0.999 0.066 1
Cu30 Cu 0.833 0.250 0.131 1
Cu31 Cu 0.833 0.250 0.736 1
Cu32 Cu 0.833 0.750 0.132 1
Cu33 Cu 0.833 0.750 0.934 1
Cu34 Cu 0.834 0.250 0.934 1
Ge1 Ge 0.167 0.250 0.268 1
Ge2 Ge 0.833 0.750 0.732 1
# SG = P2_1/m (11)
# Calculated total energy = -66.7 eV per formula unit

=====

# TbErZn2Pb2 PBE relaxed
data_TbErZn2Pb2
_chemical_formula_sum 'Tb2 Er2 Zn4 Pb4'
_space_group_name_H-M_alt 'P 1'
_space_group_IT_number 1
_cell_length_a 4.589
_cell_length_b 4.589
_cell_length_c 15.957
_cell_angle_alpha 90.00
_cell_angle_beta 90.00
_cell_angle_gamma 120.00
loop_
_space_group_symop_operation_xyz
'x,y,z'
loop_
_atom_site_label
_atom_site_type_symbol
_atom_site_fract_x
_atom_site_fract_y
_atom_site_fract_z
_atom_site_occupancy
Tb1 Tb 0.000 0.000 0.250 1
Tb2 Tb 0.000 0.000 0.750 1
Er1 Er 0.000 0.000 0.000 1
Er2 Er 0.000 0.000 0.500 1
Zn1 Zn 0.333 0.667 0.165 1
Zn2 Zn 0.333 0.667 0.335 1
Zn3 Zn 0.667 0.333 0.665 1
Zn4 Zn 0.667 0.333 0.835 1
Pb1 Pb 0.333 0.667 0.609 1
Pb2 Pb 0.333 0.667 0.891 1
Pb3 Pb 0.667 0.333 0.109 1
Pb4 Pb 0.667 0.333 0.391 1
# SG = P6_3/mmc (194)
# Calculated total energy = -21.5 eV per formula unit
# Magnetization = 0.01 μB per formula unit

=====

# Pr5Ir3 PBE relaxed
data_Pr5Ir3
_chemical_formula_sum 'Pr20 Ir12'
_space_group_name_H-M_alt 'P 1'
_space_group_IT_number 1
_cell_length_a 11.335
_cell_length_b 11.335
_cell_length_c 6.588
_cell_angle_alpha 90.00
_cell_angle_beta 90.00
_cell_angle_gamma 90.00
loop_
_space_group_symop_operation_xyz
'x,y,z'
loop_
_atom_site_label
_atom_site_type_symbol
_atom_site_fract_x
_atom_site_fract_y
_atom_site_fract_z
_atom_site_occupancy
Pr1 Pr 0.042 0.159 0.120 1
Pr2 Pr 0.042 0.341 0.620 1
Pr3 Pr 0.159 0.042 0.620 1
Pr4 Pr 0.159 0.458 0.120 1
Pr5 Pr 0.250 0.750 0.000 1
Pr6 Pr 0.250 0.750 0.500 1
Pr7 Pr 0.341 0.042 0.120 1
Pr8 Pr 0.341 0.458 0.620 1
Pr9 Pr 0.458 0.159 0.620 1
Pr10 Pr 0.458 0.341 0.120 1
Pr11 Pr 0.542 0.659 0.880 1
Pr12 Pr 0.542 0.841 0.380 1
Pr13 Pr 0.659 0.542 0.380 1
Pr14 Pr 0.659 0.958 0.880 1
Pr15 Pr 0.750 0.250 0.000 1
Pr16 Pr 0.750 0.250 0.500 1
Pr17 Pr 0.841 0.542 0.880 1
Pr18 Pr 0.841 0.958 0.380 1
Pr19 Pr 0.958 0.659 0.380 1
Pr20 Pr 0.958 0.841 0.880 1
Ir1 Ir 0.096 0.596 0.750 1
Ir2 Ir 0.096 0.904 0.250 1
Ir3 Ir 0.250 0.250 0.384 1
Ir4 Ir 0.250 0.250 0.884 1
Ir5 Ir 0.404 0.596 0.250 1
Ir6 Ir 0.404 0.904 0.750 1
Ir7 Ir 0.596 0.096 0.250 1
Ir8 Ir 0.596 0.404 0.750 1
Ir9 Ir 0.750 0.750 0.116 1
Ir10 Ir 0.750 0.750 0.616 1
Ir11 Ir 0.904 0.096 0.750 1
Ir12 Ir 0.904 0.404 0.250 1
# SG = P4/ncc (130)
# Energy of formation = -4.68 eV per formula unit
# Magnetization = 0.00 μB per formula unit

=====

# CsHfAgTe3 PBE relaxed
data_CsHfAgTe3
_chemical_formula_sum 'Cs4 Hf4 Ag4 Te12'
_space_group_name_H-M_alt 'P 1'
_space_group_IT_number 1
_cell_length_a 13.060
_cell_length_b 4.416
_cell_length_c 13.962
_cell_angle_alpha 90.00
_cell_angle_beta 90.00
_cell_angle_gamma 90.00
loop_
_space_group_symop_operation_xyz
'x,y,z'
loop_
_atom_site_label
_atom_site_type_symbol
_atom_site_fract_x
_atom_site_fract_y
_atom_site_fract_z
_atom_site_occupancy
Cs1 Cs 0.161 0.250 0.023 1
Cs2 Cs 0.339 0.750 0.523 1
Cs3 Cs 0.661 0.250 0.477 1
Cs4 Cs 0.839 0.750 0.977 1
Hf1 Hf 0.043 0.250 0.344 1
Hf2 Hf 0.457 0.750 0.844 1
Hf3 Hf 0.543 0.250 0.156 1
Hf4 Hf 0.957 0.750 0.656 1
Ag1 Ag 0.245 0.250 0.711 1
Ag2 Ag 0.255 0.750 0.211 1
Ag3 Ag 0.745 0.250 0.789 1
Ag4 Ag 0.755 0.750 0.289 1
Te1 Te 0.027 0.750 0.203 1
Te2 Te 0.084 0.250 0.566 1
Te3 Te 0.246 0.750 0.834 1
Te4 Te 0.254 0.250 0.334 1
Te5 Te 0.416 0.750 0.066 1
Te6 Te 0.473 0.250 0.703 1
Te7 Te 0.527 0.750 0.297 1
Te8 Te 0.584 0.250 0.934 1
Te9 Te 0.746 0.750 0.666 1
Te10 Te 0.754 0.250 0.166 1
Te11 Te 0.916 0.750 0.434 1
Te12 Te 0.973 0.250 0.797 1
# SG = Pnma (62)
# Calculated total energy = -26.7 eV per formula unit
# Magnetization = 0.00 μB per formula unit

=====

# TaB4Pd PBE relaxed
data_TaB4Pd
_chemical_formula_sum 'Ta1 B4 Pd1'
_space_group_name_H-M_alt 'P 1'
_space_group_IT_number 1
_cell_length_a 4.679
_cell_length_b 4.679
_cell_length_c 4.679
_cell_angle_alpha 142.08
_cell_angle_beta 111.89
_cell_angle_gamma 80.69
loop_
_space_group_symop_operation_xyz
'x,y,z'
loop_
_atom_site_label
_atom_site_type_symbol
_atom_site_fract_x
_atom_site_fract_y
_atom_site_fract_z
_atom_site_occupancy
Ta1 Ta 0.000 0.000 0.000 1
B1 B 0.061 0.738 0.323 1
B2 B 0.416 0.738 0.677 1
B3 B 0.584 0.262 0.323 1
B4 B 0.939 0.262 0.677 1
Pd1 Pd 0.500 0.500 0.000 1
# SG = Immm (71)
# Calculated total energy = -44.9 eV per formula unit
# Magnetization = 0.00 μB per formula unit

=====

Volume for every record listed, in sequence, given in Å³ per atom: 22.0, 24.5, 18.0, 13.6, 18.0, 17.3, 53.7, 19.9, 24.2, 26.4, 33.6, 9.5.